(1)
Compound: CrRh
Source: Alexandria
Functional: PBE-GGA
Structure: relaxed

```
data_CrRh
_chemical_formula_sum 'Cr1 Rh1'
_cell_length_a 2.6623
_cell_length_b 2.6623
_cell_length_c 4.2202
_cell_angle_alpha 90.00
_cell_angle_beta 90.00
_cell_angle_gamma 120.00
_symmetry_space_group_name_H-M 'P 1'
_symmetry_Int_Tables_number 1
loop_
_symmetry_equiv_pos_as_xyz
'x,y,z'
loop_
_atom_site_label
_atom_site_type_symbol
_atom_site_fract_x
_atom_site_fract_y
_atom_site_fract_z
Cr1 Cr 0.0000 0.0000 0.0000
Rh1 Rh 0.3333 0.6667 0.5000
```


(2)
Compound: Ho4Ge3Pd
Source: Alexandria
Functional: PBE-GGA
Structure: relaxed

```
data_Ho4Ge3Pd
_chemical_formula_sum 'Ho4 Ge3 Pd1'
_cell_length_a 4.1244
_cell_length_b 4.0746
_cell_length_c 10.8043
_cell_angle_alpha 90.00
_cell_angle_beta 90.00
_cell_angle_gamma 90.00
_symmetry_space_group_name_H-M 'P 1'
_symmetry_Int_Tables_number 1
loop_
_symmetry_equiv_pos_as_xyz
'x,y,z'
loop_
_atom_site_label
_atom_site_type_symbol
_atom_site_fract_x
_atom_site_fract_y
_atom_site_fract_z
Ho1 Ho 0.5000 0.5000 0.3592
Ho2 Ho 0.0000 0.5000 0.8634
Ho3 Ho 0.0000 0.0000 0.1360
Ho4 Ho 0.5000 0.0000 0.6398
Ge1 Ge 0.0000 0.5000 0.5868
Ge2 Ge 0.0000 0.0000 0.4179
Ge3 Ge 0.5000 0.0000 0.9140
Pd1 Pd 0.5000 0.5000 0.0830
```


E_form / meV per atom: -13 -861